# PuH2I3 PBE-GGA relaxed
data_PuH2I3
_cell_length_a 7.856
_cell_length_b 8.462
_cell_length_c 8.581
_cell_angle_alpha 107.38
_cell_angle_beta 110.00
_cell_angle_gamma 99.99
_space_group_name_H-M_alt 'P -1'
_space_group_IT_number 2
loop_
_space_group_symop_operation_xyz
'x,y,z'
'-x,-y,-z'
loop_
_atom_site_label
_atom_site_fract_x
_atom_site_fract_y
_atom_site_fract_z
Pu1 0.000 0.000 0.000
Pu2 0.500 0.000 0.000
H1 0.107 0.433 0.720
H2 0.153 0.444 0.817
I1 0.106 0.867 0.679
I2 0.287 0.831 0.183
I3 0.366 0.312 0.154
# E_tot   -4.998 eV per atom